DFT (PBE-GGA) results for an optimized crystal structure of YAs2HO6.

Computed properties:
* DFT total energy: -6.5266 eV per atom

a = 9.9948 Å, b = 10.5565 Å, c = 6.7916 Å
α = 90.00°, β = 104.16°, γ = 90.00°
Space group C2/c (No. 15)
One atom of each set of equivalent atoms:
Y: 0.0000 0.2246 0.2500 x4
As: 0.1929 0.0566 0.6363 x8
H: 0.0000 0.1713 0.7500 x4
O: 0.0493 0.1664 0.6002 x8
O: 0.1645 0.3569 0.2456 x8
O: 0.1674 0.0558 0.3229 x8

=====

DFT (PBE-GGA) results for an optimized crystal structure of Zn2AsHO5.

Computed properties:
* DFT total energy: -5.2483 eV per atom

a = 8.4683 Å, b = 8.6313 Å, c = 6.1694 Å
α = 90.00°, β = 90.00°, γ = 90.00°
Space group Pnnm (No. 58)
One atom of each set of equivalent atoms:
Zn: 0.0000 0.0000 0.2475 x4
Zn: 0.1349 0.3641 0.0000 x4
As: 0.2500 0.2443 0.5000 x4
H: 0.2130 0.0824 0.0000 x4
O: 0.0726 0.1447 0.5000 x4
O: 0.1044 0.6047 0.0000 x4
O: 0.1071 0.1278 0.0000 x4
O: 0.2301 0.8637 0.2234 x8

=====

DFT (PBE-GGA) results for an optimized crystal structure of Zn2AsH3O6.

Computed properties:
* DFT total energy: -5.1670 eV per atom

a = 12.9196 Å, b = 8.0992 Å, c = 10.3501 Å
α = 90.00°, β = 104.00°, γ = 90.00°
Space group P2_1/c (No. 14)
One atom of each set of equivalent atoms:
Zn: 0.0070 0.2499 0.4384 x4
Zn: 0.2531 0.1666 0.4655 x4
Zn: 0.3625 0.6974 0.1277 x4
Zn: 0.4029 0.0489 0.8890 x4
As: 0.1494 0.0571 0.7237 x4
As: 0.3852 0.0789 0.2157 x4
H: 0.0509 0.0080 0.2127 x4
H: 0.0773 0.7043 0.3518 x4
H: 0.1571 0.5571 0.6695 x4
H: 0.1593 0.6672 0.9482 x4
H: 0.2960 0.6112 0.8890 x4
H: 0.4769 0.7384 0.4637 x4
O: 0.0477 0.5861 0.2116 x4
O: 0.0794 0.5400 0.6393 x4
O: 0.0870 0.7228 0.9316 x4
O: 0.1337 0.1934 0.8462 x4
O: 0.1374 0.1575 0.5733 x4
O: 0.2689 0.5469 0.2639 x4
O: 0.2737 0.5789 0.9707 x4
O: 0.3182 0.6058 0.7201 x4
O: 0.3451 0.2103 0.3230 x4
O: 0.3553 0.1604 0.0576 x4
O: 0.4469 0.6603 0.5166 x4
O: 0.4776 0.5476 0.2382 x4